No. 1
Density functional theory data (PBE) for a geometry-optimized Hf3As2N structure.

Structure (CIF):
```
data_Hf3As2N
_chemical_formula_sum 'Hf12 As8 N4'
_symmetry_space_group_name_H-M 'C m c m'
_symmetry_Int_Tables_number 63
_symmetry_space_group_name_Hall '-C 2c 2'
_cell_length_a 9.954
_cell_length_b 7.419
_cell_length_c 5.752
_cell_angle_alpha 90.00
_cell_angle_beta 90.00
_cell_angle_gamma 90.00
loop_
_atom_site_label
_atom_site_type_symbol
_atom_site_fract_x
_atom_site_fract_y
_atom_site_fract_z
_atom_site_occupancy
Hf1 Hf 0.000 0.143 0.250 1
Hf2 Hf 0.157 0.500 0.000 1
As1 As 0.147 0.179 0.750 1
N1 N 0.000 0.437 0.250 1
```

## Properties
As for the formation energy (no corrections): -0.93 eV per atom.

---

No. 2
Density functional theory data (PBE) for a geometry-optimized Hf5As2N structure.

Structure (CIF):
```
data_Hf5As2N
_chemical_formula_sum 'Hf20 As8 N4'
_symmetry_space_group_name_H-M 'C m c m'
_symmetry_Int_Tables_number 63
_symmetry_space_group_name_Hall '-C 2c 2'
_cell_length_a 4.343
_cell_length_b 13.817
_cell_length_c 11.449
_cell_angle_alpha 90.00
_cell_angle_beta 90.00
_cell_angle_gamma 90.00
loop_
_atom_site_label
_atom_site_type_symbol
_atom_site_fract_x
_atom_site_fract_y
_atom_site_fract_z
_atom_site_occupancy
Hf1 Hf 0.000 0.101 0.117 1
Hf2 Hf 0.000 0.264 0.750 1
Hf3 Hf 0.000 0.310 0.060 1
As1 As 0.000 0.092 0.623 1
N1 N 0.000 0.218 0.250 1
```

## Properties
As for the formation energy (no corrections): -0.52 eV per atom.

---

No. 3
Density functional theory data (PBE) for a geometry-optimized Hf3AsN3 structure.

Structure (CIF):
```
data_Hf3AsN3
_chemical_formula_sum 'Hf18 As6 N18'
_symmetry_space_group_name_H-M 'R -3'
_symmetry_Int_Tables_number 148
_symmetry_space_group_name_Hall '-R 3'
_cell_length_a 6.2700
_cell_length_b 6.2700
_cell_length_c 19.7440
_cell_angle_alpha 90.00
_cell_angle_beta 90.00
_cell_angle_gamma 120.00
loop_
_atom_site_label
_atom_site_type_symbol
_atom_site_fract_x
_atom_site_fract_y
_atom_site_fract_z
_atom_site_occupancy
Hf1 Hf 0.0076 0.3565 0.3977 1
As1 As 0.0000 0.0000 0.1677 1
N1 N 0.0115 0.3112 0.6215 1
```

## Properties
As for the formation energy (no corrections): -1.42 eV per atom.

---

No. 4
Density functional theory data (PBE) for a geometry-optimized Hf2AsN structure.

Structure (CIF):
```
data_Hf2AsN
_chemical_formula_sum 'Hf6 As3 N3'
_symmetry_space_group_name_H-M 'R -3 m'
_symmetry_Int_Tables_number 166
_symmetry_space_group_name_Hall '-R 3 2"'
_cell_length_a 3.4356
_cell_length_b 3.4356
_cell_length_c 18.2280
_cell_angle_alpha 90.00
_cell_angle_beta 90.00
_cell_angle_gamma 120.00
loop_
_atom_site_label
_atom_site_type_symbol
_atom_site_fract_x
_atom_site_fract_y
_atom_site_fract_z
_atom_site_occupancy
Hf1 Hf 0.0000 0.0000 0.2301 1
As1 As 0.0000 0.0000 0.0000 1
N1 N 0.0000 0.0000 0.5000 1
```

## Properties
As for the formation energy (no corrections): -1.22 eV per atom.

---

No. 5
Density functional theory data (PBE) for a geometry-optimized Hf2AsN structure.

Structure (CIF):
```
data_Hf2AsN
_chemical_formula_sum 'Hf6 As3 N3'
_symmetry_space_group_name_H-M 'R 3 m'
_symmetry_Int_Tables_number 160
_symmetry_space_group_name_Hall 'R 3 -2"'
_cell_length_a 3.4021
_cell_length_b 3.4021
_cell_length_c 18.4576
_cell_angle_alpha 90.00
_cell_angle_beta 90.00
_cell_angle_gamma 120.00
loop_
_atom_site_label
_atom_site_type_symbol
_atom_site_fract_x
_atom_site_fract_y
_atom_site_fract_z
_atom_site_occupancy
Hf1 Hf 0.0000 0.0000 0.0000 1
Hf2 Hf 0.0000 0.0000 0.2027 1
As1 As 0.0000 0.0000 0.4355 1
N1 N 0.0000 0.0000 0.6066 1
```

## Properties
As for the formation energy (no corrections): -1.30 eV per atom.

---

No. 6
Density functional theory data (PBE) for a geometry-optimized Hf2AsN structure.

Structure (CIF):
```
data_Hf2AsN
_chemical_formula_sum 'Hf8 As4 N4'
_symmetry_space_group_name_H-M 'F m -3 m'
_symmetry_Int_Tables_number 225
_symmetry_space_group_name_Hall '-F 4 2 3'
_cell_length_a 6.268
_cell_length_b 6.268
_cell_length_c 6.268
_cell_angle_alpha 90.00
_cell_angle_beta 90.00
_cell_angle_gamma 90.00
loop_
_atom_site_label
_atom_site_type_symbol
_atom_site_fract_x
_atom_site_fract_y
_atom_site_fract_z
_atom_site_occupancy
Hf1 Hf 0.250 0.250 0.250 1
As1 As 0.000 0.000 0.000 1
N1 N 0.000 0.000 0.500 1
```

## Properties
As for the formation energy (no corrections): -0.27 eV per atom.

---

No. 7
Density functional theory data (PBE) for a geometry-optimized Hf6As2N structure.

Structure (CIF):
```
data_Hf6As2N
_chemical_formula_sum 'Hf12 As4 N2'
_symmetry_space_group_name_H-M 'P 1 21/c 1'
_symmetry_Int_Tables_number 14
_cell_length_a 5.780
_cell_length_b 6.634
_cell_length_c 10.258
_cell_angle_alpha 90.00
_cell_angle_beta 123.41
_cell_angle_gamma 90.00
loop_
_symmetry_equiv_pos_as_xyz
'x,y,z'
'-x,-y,-z'
'-x,y+1/2,-z+1/2'
'x,-y+1/2,z+1/2'
loop_
_atom_site_label
_atom_site_type_symbol
_atom_site_fract_x
_atom_site_fract_y
_atom_site_fract_z
_atom_site_occupancy
Hf1 Hf 0.107 0.182 0.456 1
Hf2 Hf 0.310 0.694 0.454 1
Hf3 Hf 0.386 0.019 0.252 1
As1 As 0.174 0.115 0.749 1
N1 N 0.500 0.000 0.500 1
```

## Properties
As for the formation energy (no corrections): -0.90 eV per atom.

---

No. 8
Density functional theory data (PBE) for a geometry-optimized Hf7As2N2 structure.

Structure (CIF):
```
data_Hf7As2N2
_chemical_formula_sum 'Hf14 As4 N4'
_symmetry_space_group_name_H-M 'C 1 2/m 1'
_symmetry_Int_Tables_number 12
_cell_length_a 6.947
_cell_length_b 10.096
_cell_length_c 6.662
_cell_angle_alpha 90.00
_cell_angle_beta 102.43
_cell_angle_gamma 90.00
loop_
_symmetry_equiv_pos_as_xyz
'x,y,z'
'-x,-y,-z'
'-x,y,-z'
'x,-y,z'
'x+1/2,y+1/2,z'
'-x+1/2,-y+1/2,-z'
'-x+1/2,y+1/2,-z'
'x+1/2,-y+1/2,z'
loop_
_atom_site_label
_atom_site_type_symbol
_atom_site_fract_x
_atom_site_fract_y
_atom_site_fract_z
_atom_site_occupancy
Hf1 Hf 0.000 0.000 0.000 1
Hf2 Hf 0.090 0.500 0.806 1
Hf3 Hf 0.216 0.293 0.203 1
As1 As 0.000 0.312 0.500 1
N1 N 0.218 0.500 0.135 1
```

## Properties
As for the formation energy (no corrections): -0.70 eV per atom.

---

No. 9
Density functional theory data (PBE) for a geometry-optimized Hf6As3N structure.

Structure (CIF):
```
data_Hf6As3N
_chemical_formula_sum 'Hf24 As12 N4'
_symmetry_space_group_name_H-M 'C m c 21'
_symmetry_Int_Tables_number 36
_cell_length_a 10.295
_cell_length_b 12.705
_cell_length_c 6.089
_cell_angle_alpha 90.00
_cell_angle_beta 90.00
_cell_angle_gamma 90.00
loop_
_symmetry_equiv_pos_as_xyz
'x,y,z'
'-x,-y,z+1/2'
'-x,y,z'
'x,-y,z+1/2'
'x+1/2,y+1/2,z'
'-x+1/2,-y+1/2,z+1/2'
'-x+1/2,y+1/2,z'
'x+1/2,-y+1/2,z+1/2'
loop_
_atom_site_label
_atom_site_type_symbol
_atom_site_fract_x
_atom_site_fract_y
_atom_site_fract_z
_atom_site_occupancy
Hf1 Hf 0.000 0.052 0.000 1
Hf2 Hf 0.000 0.232 0.527 1
Hf3 Hf 0.161 0.444 0.507 1
Hf4 Hf 0.168 0.261 0.015 1
As1 As 0.000 0.406 0.174 1
As2 As 0.172 0.092 0.332 1
N1 N 0.000 0.198 0.859 1
```

## Properties
As for the formation energy (no corrections): -0.81 eV per atom.

---

No. 10
Density functional theory data (PBE) for a geometry-optimized Hf2AsN structure.

Structure (CIF):
```
data_Hf2AsN
_chemical_formula_sum 'Hf8 As4 N4'
_symmetry_space_group_name_H-M 'I -4 2 d'
_symmetry_Int_Tables_number 122
_symmetry_space_group_name_Hall 'I -4 2bw'
_cell_length_a 5.473
_cell_length_b 5.473
_cell_length_c 10.556
_cell_angle_alpha 90.00
_cell_angle_beta 90.00
_cell_angle_gamma 90.00
loop_
_atom_site_label
_atom_site_type_symbol
_atom_site_fract_x
_atom_site_fract_y
_atom_site_fract_z
_atom_site_occupancy
Hf1 Hf 0.172 0.250 0.125 1
As1 As 0.000 0.000 0.500 1
N1 N 0.000 0.000 0.000 1
```

## Properties
As for the formation energy (no corrections): -0.94 eV per atom.

---

No. 11
Density functional theory data (PBE) for a geometry-optimized Na2Hf2As2N structure.

Structure (CIF):
```
data_Na2Hf2As2N
_chemical_formula_sum 'Na4 Hf4 As4 N2'
_symmetry_space_group_name_H-M 'I 4/m m m'
_symmetry_Int_Tables_number 139
_symmetry_space_group_name_Hall '-I 4 2'
_cell_length_a 4.345
_cell_length_b 4.345
_cell_length_c 15.283
_cell_angle_alpha 90.00
_cell_angle_beta 90.00
_cell_angle_gamma 90.00
loop_
_atom_site_label
_atom_site_type_symbol
_atom_site_fract_x
_atom_site_fract_y
_atom_site_fract_z
_atom_site_occupancy
Na1 Na 0.000 0.000 0.180 1
Hf1 Hf 0.000 0.500 0.000 1
As1 As 0.000 0.000 0.378 1
N1 N 0.000 0.000 0.000 1
```

## Properties
As for the formation energy (no corrections): -0.95 eV per atom.

---

No. 12
Density functional theory data (PBE) for a geometry-optimized HfPaAsN structure.

Structure (CIF):
```
data_HfPaAsN
_chemical_formula_sum 'Hf2 Pa2 As2 N2'
_symmetry_space_group_name_H-M 'P 4/n m m'
_symmetry_Int_Tables_number 129
_cell_length_a 4.011
_cell_length_b 4.011
_cell_length_c 9.050
_cell_angle_alpha 90.00
_cell_angle_beta 90.00
_cell_angle_gamma 90.00
loop_
_symmetry_equiv_pos_as_xyz
'x,y,z'
'-x,-y,-z'
'-y+1/2,x,z'
'y+1/2,-x,-z'
'-x+1/2,-y+1/2,z'
'x+1/2,y+1/2,-z'
'y,-x+1/2,z'
'-y,x+1/2,-z'
'x+1/2,-y,-z'
'-x+1/2,y,z'
'-y,-x,-z'
'y,x,z'
'-x,y+1/2,-z'
'x,-y+1/2,z'
'y+1/2,x+1/2,-z'
'-y+1/2,-x+1/2,z'
loop_
_atom_site_label
_atom_site_type_symbol
_atom_site_fract_x
_atom_site_fract_y
_atom_site_fract_z
_atom_site_occupancy
Hf1 Hf 0.250 0.750 0.000 1
Pa1 Pa 0.250 0.250 0.372 1
As1 As 0.250 0.250 0.787 1
N1 N 0.250 0.750 0.500 1
```

## Properties
As for the formation energy (no corrections): -1.23 eV per atom.

---

Number 1: calculated density 10.94 g/cm3. Number 2: calculated density 10.21 g/cm3. Number 3: calculated density 9.67 g/cm3. Number 4: calculated density 11.92 g/cm3. Number 5: calculated density 12.01 g/cm3. Number 6: calculated density 12.02 g/cm3. Number 7: calculated density 12.49 g/cm3. Number 8: calculated density 10.39 g/cm3. Number 9: calculated density 10.92 g/cm3. Number 10: calculated density 9.37 g/cm3. Number 11: calculated density 6.52 g/cm3. Number 12: calculated density 11.37 g/cm3.